Entry 1:
Tm3AlTl2: relaxed, GGA-PBE.

```
6
Lattice="3.574 0.000 0.000 0.000 3.574 0.000 0.000 0.000 11.849" Properties=species:S:1:pos:R:3 pbc="T T T"
Al 1.787 1.787 5.924
Tm 0.000 0.000 0.000
Tl 1.787 1.787 9.824
Tm 0.000 0.000 4.114
Tl 1.787 1.787 2.025
Tm 0.000 0.000 7.734
```

Properties
- Total moment: 0.02 μB per atom
- Uncorrected energy: -3.97 eV per atom
- Excess energy over the best structure of this formula in the dataset: 0.0 meV per atom
- Volume: 25.226 Å³/atom
- DFT formation energy: -31.0 kJ per mole of atoms


Entry 2:
YZrZnAg: relaxed, GGA-PBE.

```
4
Lattice="-3.710 -1.974 2.641 0.992 -3.176 3.683 -0.693 1.376 4.718" Properties=species:S:1:pos:R:3 pbc="T T T"
Ag 0.000 0.000 0.000
Zr -0.853 -0.943 2.761
Zn -1.706 -1.886 5.521
Y -2.558 -2.830 8.282
```

Properties
- Total moment: 0.28 μB per atom
- Uncorrected energy: -4.94 eV per atom
- Volume: 21.614 Å³/atom
- DFT formation energy: -15.3 kJ per mole of atoms


Entry 3:
TiCdPd2: relaxed, GGA-PBE.

```
4
Lattice="4.702 -1.516 -3.305 -0.962 4.846 3.305 -3.223 -0.145 4.993" Properties=species:S:1:pos:R:3 pbc="T T T"
Ti 0.000 0.000 0.000
Pd -0.962 1.080 1.907
Cd -2.092 2.350 4.149
Pd -3.223 3.620 6.391
```

Properties
- Total moment: 0.00 μB per atom
- Uncorrected energy: -4.76 eV per atom
- Volume: 18.202 Å³/atom
- DFT formation energy: 4.2 kJ per mole of atoms


Entry 4:
Rb3Cd2Bi3: relaxed, GGA-PBE.

```
16
Lattice="5.464 0.000 0.000 -2.732 6.372 0.000 0.000 0.000 17.773" Properties=species:S:1:pos:R:3 pbc="T T T"
Cd 0.000 2.688 7.172
Rb 0.000 1.089 11.014
Bi 0.000 4.854 17.277
Cd 0.000 2.688 1.715
Rb 2.732 5.284 6.759
Rb 0.000 4.957 13.330
Bi 2.732 1.518 8.391
Bi 2.732 2.460 13.330
Rb 0.000 1.089 15.646
Bi 0.000 3.913 4.443
Cd 2.732 3.684 16.058
Cd 2.732 3.684 10.602
Bi 2.732 1.518 0.496
Bi 0.000 4.854 9.383
Rb 2.732 5.284 2.128
Rb 2.732 1.415 4.443
```

Properties
- Total moment: 0.00 μB per atom
- Uncorrected energy: -2.35 eV per atom
- Volume: 38.675 Å³/atom
- DFT formation energy: -29.5 kJ per mole of atoms